A relaxed structure of Ho3Cu4Sn4, computed with PBEsol.

- M_tot (Bohr magnetons per cell) = 0.0
- calculated volume (Å³/f.u.) = 216.4
- formation energy from the elements (eV per atom) = -0.54

Cell lengths 8.2812, 8.2812, 8.2812 Å; angles 149.23, 131.35, 58.67 degrees
With the nearest neighbours (Å) after each atom.
Fractional coordinates of all 11 atoms:
Ho 0.0000 0.0000 0.0000  6 Sn 2.98-3.12
Ho 0.3689 0.8689 0.5000  6 Cu 3.11-3.13, 6 Sn 3.11-3.22
Ho 0.6311 0.1311 0.5000  6 Cu 3.11-3.13, 6 Sn 3.11-3.22
Cu 0.0173 0.3288 0.6884  1 Cu 2.57, 4 Sn 2.58-2.68
Cu 0.3596 0.6712 0.6884  1 Cu 2.57, 4 Sn 2.58-2.68
Cu 0.6404 0.3288 0.3116  1 Cu 2.57, 4 Sn 2.58-2.68
Cu 0.9827 0.6712 0.3116  1 Cu 2.57, 4 Sn 2.58-2.68
Sn 0.2160 0.2160 0.0000  6 Cu 2.63-2.68
Sn 0.2961 0.5000 0.7961  2 Cu 2.58, 1 Sn 2.78
Sn 0.7039 0.5000 0.2039  2 Cu 2.58, 1 Sn 2.78
Sn 0.7840 0.7840 0.0000  6 Cu 2.63-2.68

=====

A relaxed structure of HoCu5Sn, computed with PBEsol.

- M_tot (Bohr magnetons per cell) = 0.0
- calculated volume (Å³/f.u.) = 103.1
- formation energy from the elements (eV per atom) = -0.28

Cell lengths 8.0762, 4.8948, 10.4282 Å; angles 90.00, 90.00, 90.00 degrees
With the nearest neighbours (Å) after each atom.
Fractional coordinates of all 28 atoms:
Ho 0.2499 0.2500 0.0628  10 Cu 2.82-3.13
Ho 0.2501 0.7500 0.5628  10 Cu 2.82-3.13
Ho 0.7499 0.2500 0.4372  10 Cu 2.82-3.13
Ho 0.7501 0.7500 0.9372  10 Cu 2.82-3.13
Cu 0.0581 0.2500 0.6018  4 Cu 2.52-2.55, 1 Sn 2.59
Cu 0.0694 0.5012 0.8124  7 Cu 2.44-2.52, 1 Sn 2.71
Cu 0.0694 0.9988 0.8124  7 Cu 2.44-2.52, 1 Sn 2.71
Cu 0.0841 0.7500 0.0167  5 Cu 2.46-2.50
Cu 0.1833 0.7500 0.2415  7 Cu 2.45-2.55
Cu 0.3167 0.2500 0.7415  7 Cu 2.45-2.55
Cu 0.4159 0.2500 0.5167  5 Cu 2.46-2.50
Cu 0.4306 0.0012 0.3124  7 Cu 2.44-2.52, 1 Sn 2.71
Cu 0.4306 0.4988 0.3124  7 Cu 2.44-2.52, 1 Sn 2.71
Cu 0.4419 0.7500 0.1018  4 Cu 2.52-2.55, 1 Sn 2.59
Cu 0.5581 0.2500 0.8982  4 Cu 2.52-2.55, 1 Sn 2.59
Cu 0.5694 0.5012 0.6876  7 Cu 2.44-2.52, 1 Sn 2.71
Cu 0.5694 0.9988 0.6876  7 Cu 2.44-2.52, 1 Sn 2.71
Cu 0.5841 0.7500 0.4833  5 Cu 2.46-2.50
Cu 0.6833 0.7500 0.2585  7 Cu 2.45-2.55
Cu 0.8167 0.2500 0.7585  7 Cu 2.45-2.55
Cu 0.9159 0.2500 0.9833  5 Cu 2.46-2.50
Cu 0.9306 0.0012 0.1876  7 Cu 2.44-2.52, 1 Sn 2.71
Cu 0.9306 0.4988 0.1876  7 Cu 2.44-2.52, 1 Sn 2.71
Cu 0.9419 0.7500 0.3982  4 Cu 2.52-2.55, 1 Sn 2.59
Sn 0.1374 0.2500 0.3612  8 Cu 2.59-2.77
Sn 0.3626 0.7500 0.8612  8 Cu 2.59-2.77
Sn 0.6374 0.2500 0.1388  8 Cu 2.59-2.77
Sn 0.8626 0.7500 0.6388  8 Cu 2.59-2.77

=====

A relaxed structure of Ho2CuTc, computed with PBEsol.

- M_tot (Bohr magnetons per cell) = 0.0
- calculated volume (Å³/f.u.) = 76.0
- formation energy from the elements (eV per atom) = -0.08

Cell lengths 6.7248, 6.7248, 6.7248 Å; angles 90.00, 90.00, 90.00 degrees
With the nearest neighbours (Å) after each atom.
Fractional coordinates of all 16 atoms:
Ho 0.2500 0.2500 0.2500  4 Tc 2.91, 4 Cu 2.91
Ho 0.2500 0.2500 0.7500  4 Cu 2.91, 4 Tc 2.91
Ho 0.2500 0.7500 0.2500  4 Cu 2.91, 4 Tc 2.91
Ho 0.2500 0.7500 0.7500  4 Tc 2.91, 4 Cu 2.91
Ho 0.7500 0.2500 0.2500  4 Cu 2.91, 4 Tc 2.91
Ho 0.7500 0.2500 0.7500  4 Tc 2.91, 4 Cu 2.91
Ho 0.7500 0.7500 0.2500  4 Tc 2.91, 4 Cu 2.91
Ho 0.7500 0.7500 0.7500  4 Cu 2.91, 4 Tc 2.91
Cu 0.0000 0.0000 0.0000  8 Ho 2.91
Cu 0.0000 0.5000 0.5000  8 Ho 2.91
Cu 0.5000 0.0000 0.5000  8 Ho 2.91
Cu 0.5000 0.5000 0.0000  8 Ho 2.91
Tc 0.0000 0.0000 0.5000  8 Ho 2.91
Tc 0.0000 0.5000 0.0000  8 Ho 2.91
Tc 0.5000 0.0000 0.0000  8 Ho 2.91
Tc 0.5000 0.5000 0.5000  8 Ho 2.91

=====

Number 1: final energy -5.017 eV/atom. Number 2: final energy -4.688 eV/atom. Number 3: final energy -6.460 eV/atom.